# PBE-GGA Sm2TaN4, optimized geometry
data_Sm2TaN4
_chemical_formula_sum 'Sm4 Ta2 N8'
_space_group_name_H-M_alt 'P 1 21/m 1'
_space_group_IT_number 11
_cell_length_a 6.049
_cell_length_b 6.108
_cell_length_c 6.761
_cell_angle_alpha 90.00
_cell_angle_beta 107.71
_cell_angle_gamma 90.00
loop_
_space_group_symop_operation_xyz
'x,y,z'
'-x,-y,-z'
'-x,y+1/2,-z'
'x,-y+1/2,z'
loop_
_atom_site_label
_atom_site_fract_x
_atom_site_fract_y
_atom_site_fract_z
Sm1 0.162 0.250 0.023
Sm2 0.239 0.250 0.551
Ta1 0.290 0.750 0.814
N1 0.060 0.512 0.752
N2 0.488 0.750 0.100
N3 0.489 0.250 0.341
# * M_tot: 1.522 μB per cell
# * volume: 17.00 Å³ per atom
# * total energy: -8.78 eV/atom